<one>
A plane-wave DFT calculation with PBE was carried out for a relaxed structure of MnAu3Cl.

POSCAR file:
```
MnAu3Cl
1.0
4.836 0.000 0.000
0.000 4.836 0.000
0.000 0.000 4.836
Mn Au Cl
1 3 1
Direct
0.000 0.000 0.000
0.000 0.500 0.000
0.000 0.000 0.500
0.500 0.000 0.000
0.500 0.500 0.500
```

## Properties
Space-group type = Pm-3m


<two>
A plane-wave DFT calculation with PBE was carried out for a relaxed structure of MnAu3Cl.

POSCAR file:
```
MnAu3Cl
1.0
-0.688 -2.273 -4.361
1.979 -4.159 1.856
-4.502 -1.481 1.483
Mn Au Cl
1 3 1
Direct
0.500 0.500 0.500
0.000 0.500 0.000
0.000 0.000 0.500
0.500 0.000 0.000
0.000 0.000 0.000
```

## Properties
Space-group type = Pm-3m


Sorted by energy, starting with the most stable: <one>, <two>.


<one>
A plane-wave DFT calculation with PBE was carried out for a relaxed structure of Mn2AuCl.

POSCAR file:
```
Mn2AuCl
1.0
4.565 0.010 0.077
3.451 2.989 0.077
4.058 1.518 6.418
Mn Au Cl
2 1 1
Direct
0.061 0.061 0.068
0.439 0.439 0.432
0.250 0.250 0.250
0.750 0.750 0.750
```

## Properties
Space-group type = C2/m


<two>
A plane-wave DFT calculation with PBE was carried out for a relaxed structure of Mn2AuCl.

POSCAR file:
```
Mn2AuCl
1.0
-5.105 -4.576 3.706
-2.477 -4.540 5.830
-4.717 -2.010 5.870
Mn Au Cl
2 1 1
Direct
0.998 0.998 0.998
0.502 0.502 0.502
0.250 0.250 0.250
0.750 0.750 0.750
```

## Properties
Space-group type = R-3m


Sorted by energy, starting with the most stable: <one>, <two>.


<one>
A plane-wave DFT calculation with PBE was carried out for a relaxed structure of Mn2AuCl.

POSCAR file:
```
Mn2AuCl
1.0
4.090 -1.596 1.514
0.281 -4.222 1.914
2.134 -3.442 -2.272
Mn Au Cl
2 1 1
Direct
0.250 0.250 0.250
0.750 0.750 0.750
0.500 0.500 0.500
0.000 0.000 0.000
```

## Properties
Space-group type = Fm-3m


<two>
A plane-wave DFT calculation with PBE was carried out for a relaxed structure of Mn2AuCl.

POSCAR file:
```
Mn2AuCl
1.0
-1.196 2.842 -0.004
-2.516 -1.057 1.436
3.475 1.472 7.172
Mn Au Cl
2 1 1
Direct
0.000 0.000 0.008
0.500 0.500 0.226
0.000 0.000 0.428
0.500 0.500 0.839
```

## Properties
Space-group type = P4mm


Sorted by energy, starting with the most stable: <two>, <one>.


<one>
A plane-wave DFT calculation with PBE was carried out for a relaxed structure of Mn2AuCl.

POSCAR file:
```
Mn2AuCl
1.0
-3.301 -2.740 5.372
-1.127 -5.736 -3.618
0.711 -5.531 2.016
Mn Au Cl
4 2 2
Direct
0.613 0.125 0.250
0.137 0.625 0.250
0.375 0.387 0.750
0.875 0.863 0.750
0.000 0.000 0.000
0.750 0.250 0.500
0.500 0.500 0.000
0.250 0.750 0.500
```

## Properties
Space-group type = I-42d


<two>
A plane-wave DFT calculation with PBE was carried out for a relaxed structure of Mn2AuCl.

POSCAR file:
```
Mn2AuCl
1.0
6.607 -0.006 -0.061
5.879 3.015 -0.061
0.040 0.010 4.290
Mn Au Cl
2 1 1
Direct
0.017 0.017 0.000
0.338 0.338 0.000
0.459 0.459 0.500
0.687 0.687 0.000
```

## Properties
Space-group type = Amm2


<three>
A plane-wave DFT calculation with PBE was carried out for a relaxed structure of Mn2AuCl.

POSCAR file:
```
Mn2AuCl
1.0
-0.421 0.645 4.583
-4.151 -0.459 2.040
-0.830 -3.623 2.790
Mn Au Cl
2 1 1
Direct
0.000 0.000 0.000
0.250 0.250 0.250
0.500 0.500 0.500
0.750 0.750 0.750
```

## Properties
Space-group type = F-43m


Sorted by energy, starting with the most stable: <two>, <one>, <three>.


<one>
A plane-wave DFT calculation with PBE was carried out for a relaxed structure of MnAuCl4.

POSCAR file:
```
MnAuCl4
1.0
-0.399 -4.953 3.008
-4.571 -0.937 3.459
-3.980 -3.971 -1.459
Mn Au Cl
1 1 4
Direct
0.750 0.750 0.750
0.000 0.000 0.000
0.876 0.375 0.375
0.375 0.375 0.876
0.375 0.876 0.375
0.375 0.375 0.375
```

## Properties
Space-group type = F-43m


<two>
A plane-wave DFT calculation with PBE was carried out for a relaxed structure of MnAuCl4.

POSCAR file:
```
MnAuCl4
1.0
-4.011 -2.128 -4.055
-1.758 -5.948 3.670
-7.235 1.375 5.840
Mn Au Cl
2 2 8
Direct
0.750 0.055 0.389
0.250 0.945 0.611
0.250 0.349 0.803
0.750 0.651 0.197
0.387 0.035 0.813
0.113 0.652 0.813
0.422 0.233 0.405
0.578 0.767 0.595
0.922 0.138 0.595
0.887 0.348 0.187
0.078 0.862 0.405
0.613 0.965 0.187
```

## Properties
Space-group type = C2/c


Sorted by energy, starting with the most stable: <two>, <one>.


<one>
A plane-wave DFT calculation with PBE was carried out for a relaxed structure of Mn2AuCl2.

POSCAR file:
```
Mn2AuCl2
1.0
-4.075 0.208 -0.969
-0.944 -2.062 3.528
-2.927 4.123 4.120
Mn Au Cl
2 1 2
Direct
0.380 0.380 0.239
0.620 0.620 0.761
0.000 0.000 0.000
0.750 0.250 0.500
0.250 0.750 0.500
```

## Properties
Space-group type = I4/mmm


<two>
A plane-wave DFT calculation with PBE was carried out for a relaxed structure of Mn2AuCl2.

POSCAR file:
```
Mn2AuCl2
1.0
7.605 0.000 0.000
0.000 7.605 0.000
0.000 0.000 2.807
Mn Au Cl
4 2 4
Direct
0.212 0.712 0.500
0.712 0.788 0.500
0.788 0.288 0.500
0.288 0.212 0.500
0.000 0.000 0.000
0.500 0.500 0.000
0.369 0.869 0.000
0.869 0.631 0.000
0.631 0.131 0.000
0.131 0.369 0.000
```

## Properties
Space-group type = P4/mbm


Sorted by energy, starting with the most stable: <one>, <two>.


<one>
A plane-wave DFT calculation with PBE was carried out for a relaxed structure of MoAu2Cl.

POSCAR file:
```
MoAu2Cl
1.0
8.765 0.000 0.000
0.000 8.765 0.000
4.383 4.383 2.315
Mo Au Cl
2 4 2
Direct
0.000 0.000 0.000
0.750 0.250 0.500
0.712 0.125 0.250
0.038 0.625 0.250
0.375 0.288 0.750
0.875 0.962 0.750
0.500 0.500 0.000
0.250 0.750 0.500
```

## Properties
Space-group type = I-42d


<two>
A plane-wave DFT calculation with PBE was carried out for a relaxed structure of MoAu2Cl.

POSCAR file:
```
MoAu2Cl
1.0
5.530 0.009 -0.003
-3.019 4.633 -0.003
0.003 0.006 2.827
Au Cl Mo
2 1 1
Direct
0.000 0.000 0.000
0.500 0.500 0.000
0.500 0.000 0.500
0.000 0.500 0.500
```

## Properties
Space-group type = C2/m


Sorted by energy, starting with the most stable: <two>, <one>.


<one>
A plane-wave DFT calculation with PBE was carried out for a relaxed structure of MoAu2Cl.

POSCAR file:
```
MoAu2Cl
1.0
4.218 0.000 0.000
0.000 2.861 0.037
0.000 1.325 5.900
Au Cl Mo
2 1 1
Direct
0.000 0.941 0.996
0.500 0.321 0.236
0.000 0.665 0.540
0.500 0.573 0.728
```

## Properties
Space-group type = Pm


<two>
A plane-wave DFT calculation with PBE was carried out for a relaxed structure of MoAu2Cl.

POSCAR file:
```
MoAu2Cl
1.0
2.944 0.000 0.000
0.000 2.944 0.000
0.000 0.000 8.899
Au Cl Mo
2 1 1
Direct
0.000 0.000 0.967
0.500 0.500 0.202
0.000 0.000 0.578
0.500 0.500 0.753
```

## Properties
Space-group type = P4mm


Sorted by energy, starting with the most stable: <two>, <one>.